(1)
# CaYPO2

CaYPO2 after structural relaxation (PBE-GGA, Alexandria via LeMat-Bulk).

Energy above the most stable polymorph in this dataset in meV per atom: 0.0
Volume in Å³ per cell: 104.6
DFT total energy in eV per cell: -31.4
SG: P4/mmm (123)
Raw formation energy in eV/f.u.: -7.61
Total magnetization in μB/atom: 0.327
Fermi-level density of states in states/eV per cell: 4.17

a = 4.3717 Å, b = 4.3717 Å, c = 5.4723 Å
α = 90.00°, β = 90.00°, γ = 90.00°
Atoms (fractional coordinates):
Y 0.0000 0.0000 0.0000
P 0.0000 0.0000 0.5000
Ca 0.5000 0.5000 0.5000
O 0.0000 0.5000 0.0000
O 0.5000 0.0000 0.0000

(2)
# CaYP7O20

CaYP7O20 after structural relaxation (PBE-GGA, Alexandria via LeMat-Bulk).

Volume in Å³ per cell: 908.8
DFT total energy in eV per cell: -430.7
SG: C2/c (15)
Raw formation energy in eV/f.u.: -69.87
Total magnetization in μB/atom: 0.005
Fermi-level density of states in states/eV per cell: 0.00

a = 6.9720 Å, b = 10.8762 Å, c = 13.0352 Å
α = 106.77°, β = 105.51°, γ = 90.00°
Atoms (fractional coordinates):
Ca 0.0000 0.0000 0.0000
Ca 0.0000 0.5000 0.0000
Y 0.5000 0.0000 0.5000
Y 0.0000 0.5000 0.5000
P 0.2515 0.8281 0.6435
P 0.6079 0.6719 0.3565
P 0.7485 0.1719 0.3565
P 0.3921 0.3281 0.6435
P 0.3593 0.7500 0.0000
P 0.6407 0.2500 0.0000
P 0.5500 0.7574 0.8255
P 0.7244 0.7426 0.1745
P 0.4500 0.2426 0.1745
P 0.2756 0.2574 0.8255
P 0.9806 0.0353 0.7204
P 0.2603 0.4647 0.2796
P 0.0194 0.9647 0.2796
P 0.7397 0.5353 0.7204
O 0.1545 0.1404 0.7235
O 0.4311 0.3596 0.2765
O 0.8455 0.8596 0.2765
O 0.5689 0.6404 0.7235
O 0.7955 0.0491 0.6355
O 0.1600 0.4509 0.3645
O 0.2045 0.9509 0.3645
O 0.8400 0.5491 0.6355
O 0.3757 0.9063 0.6038
O 0.7719 0.5937 0.3962
O 0.6243 0.0937 0.3962
O 0.2281 0.4063 0.6038
O 0.6057 0.8079 0.4250
O 0.1807 0.6921 0.5750
O 0.3943 0.1921 0.5750
O 0.8193 0.3079 0.4250
O 0.2483 0.8610 0.9796
O 0.2687 0.6390 0.0204
O 0.7517 0.1390 0.0204
O 0.7313 0.3610 0.9796
O 0.3745 0.8299 0.7691
O 0.6054 0.6701 0.2309
O 0.6255 0.1701 0.2309
O 0.3946 0.3299 0.7691
O 0.4561 0.6894 0.8956
O 0.5605 0.8106 0.1044
O 0.5439 0.3106 0.1044
O 0.4395 0.1894 0.8956
O 0.7334 0.8414 0.8899
O 0.8435 0.6586 0.1101
O 0.2666 0.1586 0.1101
O 0.1565 0.3414 0.8899
O 0.0608 0.8998 0.6647
O 0.3961 0.6002 0.3353
O 0.9392 0.1002 0.3353
O 0.6039 0.3998 0.6647
O 0.9816 0.0463 0.8362
O 0.1453 0.4537 0.1638
O 0.0184 0.9537 0.1638
O 0.8547 0.5463 0.8362

(3)
# CaY3P3O12

CaY3P3O12 after structural relaxation (PBE-GGA, Alexandria via LeMat-Bulk).

Volume in Å³ per cell: 271.9
DFT total energy in eV per cell: -148.7
SG: C222 (21)
Raw formation energy in eV/f.u.: -51.56
Total magnetization in μB/atom: 0.089
Fermi-level density of states in states/eV per cell: 3.36

a = 6.9390 Å, b = 6.9390 Å, c = 6.3285 Å
α = 90.00°, β = 90.00°, γ = 116.85°
Atoms (fractional coordinates):
Ca 0.0000 0.0000 0.5000
Y 0.5000 0.0000 0.6836
Y 0.0000 0.5000 0.3164
Y 0.5000 0.5000 0.0000
P 0.5000 0.0000 0.1814
P 0.0000 0.5000 0.8186
P 0.5000 0.5000 0.5000
O 0.3038 0.8782 0.3305
O 0.1520 0.4579 0.9710
O 0.5557 0.6932 0.6515
O 0.6962 0.1218 0.3305
O 0.8480 0.5421 0.9710
O 0.4443 0.3068 0.6515
O 0.6932 0.5557 0.3485
O 0.8782 0.3038 0.6695
O 0.4579 0.1520 0.0290
O 0.3068 0.4443 0.3485
O 0.1218 0.6962 0.6695
O 0.5421 0.8480 0.0290